Density functional theory data (PBE-GGA) for an optimized crystal structure of La2AgIr.

Structure (CIF):
```
data_La2AgIr
_chemical_formula_sum 'La4 Ag2 Ir2'
_cell_length_a 4.476
_cell_length_b 4.476
_cell_length_c 9.381
_cell_angle_alpha 90.00
_cell_angle_beta 90.00
_cell_angle_gamma 90.00
_symmetry_space_group_name_H-M 'I -4 m 2'
_symmetry_Int_Tables_number 119
_symmetry_space_group_name_Hall 'I -4 -2'
loop_
_atom_site_label
_atom_site_type_symbol
_atom_site_fract_x
_atom_site_fract_y
_atom_site_fract_z
La1 La 0.000 0.000 0.000
La2 La 0.000 0.500 0.250
Ag1 Ag 0.000 0.500 0.750
Ir1 Ir 0.000 0.000 0.500
```

Calculated values
Magnetization = 0.000 μB/f.u.
ΔE_f = -0.263 eV per atom
DOS at the Fermi energy = 6.844 states/eV per cell
Volume = 23.492 Å³/atom